A geometry-optimized Y2Cu2Pb structure. Source: OQMD, functional GGA-PBE.

Energy in eV per atom: -4.8186
Spin magnetization in μB/atom: 0.000

The structure in CIF format:
```
data_Y2Cu2Pb
_chemical_formula_sum 'Y4 Cu4 Pb2'
_cell_length_a 4.056
_cell_length_b 4.056
_cell_length_c 14.444
_cell_angle_alpha 90.00
_cell_angle_beta 90.00
_cell_angle_gamma 90.00
_space_group_name_H-M_alt 'I 4/m m m'
_space_group_IT_number 139
_space_group_name_Hall '-I 4 2'
loop_
_atom_site_label
_atom_site_type_symbol
_atom_site_fract_x
_atom_site_fract_y
_atom_site_fract_z
Y1 Y 0.000 0.000 0.116
Cu1 Cu 0.000 0.500 0.250
Pb1 Pb 0.000 0.000 0.500
```